1.
VASP calculation (PBE) on a geometry-optimized Ca2MoAs structure.

Cell and atoms, written as CIF:
```
data_Ca2MoAs
_cell_length_a 3.2938
_cell_length_b 3.2938
_cell_length_c 29.1057
_cell_angle_alpha 90.00
_cell_angle_beta 90.00
_cell_angle_gamma 120.00
_symmetry_space_group_name_H-M 'R -3 m'
_symmetry_Int_Tables_number 166
_symmetry_space_group_name_Hall '-R 3 2"'
loop_
_atom_site_label
_atom_site_type_symbol
_atom_site_fract_x
_atom_site_fract_y
_atom_site_fract_z
_atom_site_occupancy
Ca1 Ca 0.0000 0.0000 0.2482 1
Mo1 Mo 0.0000 0.0000 0.0000 1
As1 As 0.0000 0.0000 0.5000 1
```

2.
VASP calculation (PBE) on a geometry-optimized Ca2MoAs structure.

Cell and atoms, written as CIF:
```
data_Ca2MoAs
_cell_length_a 6.171
_cell_length_b 6.206
_cell_length_c 9.070
_cell_angle_alpha 90.00
_cell_angle_beta 90.00
_cell_angle_gamma 90.00
_symmetry_space_group_name_H-M 'F m m m'
_symmetry_Int_Tables_number 69
_symmetry_space_group_name_Hall '-F 2 2'
loop_
_atom_site_label
_atom_site_type_symbol
_atom_site_fract_x
_atom_site_fract_y
_atom_site_fract_z
_atom_site_occupancy
Ca1 Ca 0.250 0.250 0.250 1
Mo1 Mo 0.000 0.000 0.000 1
As1 As 0.000 0.000 0.500 1
```

3.
VASP calculation (PBE) on a geometry-optimized CaMo2As structure.

Cell and atoms, written as CIF:
```
data_CaMo2As
_cell_length_a 3.332
_cell_length_b 4.123
_cell_length_c 6.220
_cell_angle_alpha 90.00
_cell_angle_beta 105.43
_cell_angle_gamma 90.00
_symmetry_space_group_name_H-M 'P 1 m 1'
_symmetry_Int_Tables_number 6
_symmetry_space_group_name_Hall 'P -2y'
loop_
_atom_site_label
_atom_site_type_symbol
_atom_site_fract_x
_atom_site_fract_y
_atom_site_fract_z
_atom_site_occupancy
Ca1 Ca 0.000 0.000 0.000 1
Mo1 Mo 0.254 0.000 0.505 1
Mo2 Mo 0.727 0.500 0.450 1
As1 As 0.390 0.500 0.779 1
```

4.
VASP calculation (PBE) on a geometry-optimized Ca2MoAs structure.

Cell and atoms, written as CIF:
```
data_Ca2MoAs
_cell_length_a 3.139
_cell_length_b 4.193
_cell_length_c 6.756
_cell_angle_alpha 90.00
_cell_angle_beta 90.00
_cell_angle_gamma 90.00
_symmetry_space_group_name_H-M 'P m m m'
_symmetry_Int_Tables_number 47
_symmetry_space_group_name_Hall '-P 2 2'
loop_
_atom_site_label
_atom_site_type_symbol
_atom_site_fract_x
_atom_site_fract_y
_atom_site_fract_z
_atom_site_occupancy
Ca1 Ca 0.000 0.000 0.240 1
Mo1 Mo 0.500 0.500 0.500 1
As1 As 0.500 0.500 0.000 1
```

5.
VASP calculation (PBE) on a geometry-optimized CaMo3As structure.

## Properties
For the distance to the lowest polymorph of the same formula, the calculation gives 0 meV/atom.

Cell and atoms, written as CIF:
```
data_CaMo3As
_cell_length_a 4.730
_cell_length_b 4.730
_cell_length_c 4.730
_cell_angle_alpha 90.00
_cell_angle_beta 90.00
_cell_angle_gamma 90.00
_symmetry_space_group_name_H-M 'P m -3 m'
_symmetry_Int_Tables_number 221
_symmetry_space_group_name_Hall '-P 4 2 3'
loop_
_atom_site_label
_atom_site_type_symbol
_atom_site_fract_x
_atom_site_fract_y
_atom_site_fract_z
_atom_site_occupancy
Ca1 Ca 0.000 0.000 0.000 1
Mo1 Mo 0.000 0.500 0.500 1
As1 As 0.500 0.500 0.500 1
```

6.
VASP calculation (PBE) on a geometry-optimized Ca2MoAs structure.

Cell and atoms, written as CIF:
```
data_Ca2MoAs
_cell_length_a 10.381
_cell_length_b 10.381
_cell_length_c 4.839
_cell_angle_alpha 90.00
_cell_angle_beta 90.00
_cell_angle_gamma 90.00
_symmetry_space_group_name_H-M 'I -4 2 d'
_symmetry_Int_Tables_number 122
_symmetry_space_group_name_Hall 'I -4 2bw'
loop_
_atom_site_label
_atom_site_type_symbol
_atom_site_fract_x
_atom_site_fract_y
_atom_site_fract_z
_atom_site_occupancy
Ca1 Ca 0.103 0.250 0.125 1
Mo1 Mo 0.000 0.000 0.500 1
As1 As 0.000 0.000 0.000 1
```

7.
VASP calculation (PBE) on a geometry-optimized CaMoAs2 structure.

## Properties
For the distance to the lowest polymorph of the same formula, the calculation gives 668 meV/atom.

Cell and atoms, written as CIF:
```
data_CaMoAs2
_cell_length_a 3.706
_cell_length_b 4.539
_cell_length_c 10.386
_cell_angle_alpha 90.00
_cell_angle_beta 90.00
_cell_angle_gamma 90.00
_symmetry_space_group_name_H-M 'C m m 2'
_symmetry_Int_Tables_number 35
_symmetry_space_group_name_Hall 'C 2 -2'
loop_
_atom_site_label
_atom_site_type_symbol
_atom_site_fract_x
_atom_site_fract_y
_atom_site_fract_z
_atom_site_occupancy
Ca1 Ca 0.000 0.000 0.000 1
Mo1 Mo 0.000 0.500 0.249 1
As1 As 0.000 0.000 0.426 1
As2 As 0.000 0.500 0.774 1
```

8.
VASP calculation (PBE) on a geometry-optimized CaMo2As structure.

Cell and atoms, written as CIF:
```
data_CaMo2As
_cell_length_a 3.1042
_cell_length_b 3.1042
_cell_length_c 27.0172
_cell_angle_alpha 90.00
_cell_angle_beta 90.00
_cell_angle_gamma 120.00
_symmetry_space_group_name_H-M 'R -3 m'
_symmetry_Int_Tables_number 166
_symmetry_space_group_name_Hall '-R 3 2"'
loop_
_atom_site_label
_atom_site_type_symbol
_atom_site_fract_x
_atom_site_fract_y
_atom_site_fract_z
_atom_site_occupancy
Ca1 Ca 0.0000 0.0000 0.0000 1
Mo1 Mo 0.0000 0.0000 0.2361 1
As1 As 0.0000 0.0000 0.5000 1
```

9.
VASP calculation (PBE) on a geometry-optimized CaMo2As2 structure.

## Properties
For the distance to the lowest polymorph of the same formula, the calculation gives 0 meV/atom.

Cell and atoms, written as CIF:
```
data_CaMo2As2
_cell_length_a 3.860
_cell_length_b 3.860
_cell_length_c 13.631
_cell_angle_alpha 90.00
_cell_angle_beta 90.00
_cell_angle_gamma 90.00
_symmetry_space_group_name_H-M 'I 4/m m m'
_symmetry_Int_Tables_number 139
_symmetry_space_group_name_Hall '-I 4 2'
loop_
_atom_site_label
_atom_site_type_symbol
_atom_site_fract_x
_atom_site_fract_y
_atom_site_fract_z
_atom_site_occupancy
Ca1 Ca 0.000 0.000 0.000 1
Mo1 Mo 0.000 0.500 0.250 1
As1 As 0.000 0.000 0.379 1
```

10.
VASP calculation (PBE) on a geometry-optimized CaMoAs2 structure.

## Properties
For the distance to the lowest polymorph of the same formula, the calculation gives 326 meV/atom.

Cell and atoms, written as CIF:
```
data_CaMoAs2
_cell_length_a 6.255
_cell_length_b 6.255
_cell_length_c 11.910
_cell_angle_alpha 90.00
_cell_angle_beta 90.00
_cell_angle_gamma 90.00
_symmetry_space_group_name_H-M 'I -4 2 d'
_symmetry_Int_Tables_number 122
_symmetry_space_group_name_Hall 'I -4 2bw'
loop_
_atom_site_label
_atom_site_type_symbol
_atom_site_fract_x
_atom_site_fract_y
_atom_site_fract_z
_atom_site_occupancy
Ca1 Ca 0.000 0.000 0.000 1
Mo1 Mo 0.000 0.000 0.500 1
As1 As 0.180 0.250 0.625 1
```

11.
VASP calculation (PBE) on a geometry-optimized CaMoAs structure.

Cell and atoms, written as CIF:
```
data_CaMoAs
_cell_length_a 4.2798
_cell_length_b 4.2798
_cell_length_c 4.2221
_cell_angle_alpha 90.00
_cell_angle_beta 90.00
_cell_angle_gamma 120.00
_symmetry_space_group_name_H-M 'P -6 m 2'
_symmetry_Int_Tables_number 187
_symmetry_space_group_name_Hall 'P -6 2'
loop_
_atom_site_label
_atom_site_type_symbol
_atom_site_fract_x
_atom_site_fract_y
_atom_site_fract_z
_atom_site_occupancy
Ca1 Ca 0.0000 0.0000 0.0000 1
Mo1 Mo 0.3333 0.6667 0.5000 1
As1 As 0.6667 0.3333 0.5000 1
```

12.
VASP calculation (PBE) on a geometry-optimized CaMo2As structure.

Cell and atoms, written as CIF:
```
data_CaMo2As
_cell_length_a 3.880
_cell_length_b 3.880
_cell_length_c 9.812
_cell_angle_alpha 90.00
_cell_angle_beta 90.00
_cell_angle_gamma 90.00
_symmetry_space_group_name_H-M 'I 4/m m m'
_symmetry_Int_Tables_number 139
_symmetry_space_group_name_Hall '-I 4 2'
loop_
_atom_site_label
_atom_site_type_symbol
_atom_site_fract_x
_atom_site_fract_y
_atom_site_fract_z
_atom_site_occupancy
Ca1 Ca 0.000 0.000 0.000 1
Mo1 Mo 0.000 0.500 0.250 1
As1 As 0.000 0.000 0.500 1
```

Number 1: energy of formation 0.3222 eV/atom, final energy -4.549 eV/atom. Number 2: energy of formation 0.2718 eV/atom, final energy -4.599 eV/atom. Number 3: energy of formation 0.0511 eV/atom, final energy -7.027 eV/atom. Number 4: energy of formation 0.1810 eV/atom, final energy -4.690 eV/atom. Number 5: energy of formation 0.8993 eV/atom, final energy -6.930 eV/atom. Number 6: energy of formation 0.2672 eV/atom, final energy -4.604 eV/atom. Number 7: energy of formation 0.1843 eV/atom, final energy -5.349 eV/atom. Number 8: energy of formation 0.4925 eV/atom, final energy -6.586 eV/atom. Number 9: energy of formation -0.4098 eV/atom, final energy -7.002 eV/atom. Number 10: energy of formation -0.1584 eV/atom, final energy -5.691 eV/atom. Number 11: energy of formation -0.0976 eV/atom, final energy -5.925 eV/atom. Number 12: energy of formation 0.4168 eV/atom, final energy -6.662 eV/atom.